## a
Density functional theory data (PBE) for a geometry-optimized Nd2Y7Er structure.

Calculated values
Total moment   0.0 μB/f.u.
DOS at the Fermi energy   32.201 states/eV per cell

Geometry as CIF:
```
data_Nd2Y7Er
_chemical_formula_sum 'Nd4 Y14 Er2'
_cell_length_a 6.543
_cell_length_b 29.039
_cell_length_c 3.526
_cell_angle_alpha 90.00
_cell_angle_beta 90.00
_cell_angle_gamma 90.00
_symmetry_space_group_name_H-M 'C m m m'
_symmetry_Int_Tables_number 65
_symmetry_space_group_name_Hall '-C 2 2'
loop_
_atom_site_label
_atom_site_fract_x
_atom_site_fract_y
_atom_site_fract_z
Nd1 0.000 0.207 0.000
Y1 0.000 0.000 0.000
Y2 0.000 0.314 0.500
Y3 0.245 0.402 0.000
Er1 0.000 0.500 0.500
```

***

## b
Density functional theory data (PBE) for a geometry-optimized Nd2Y7Er structure.

Calculated values
Total moment   0.0 μB/f.u.
DOS at the Fermi energy   14.877 states/eV per cell

Geometry as CIF:
```
data_Nd2Y7Er
_chemical_formula_sum 'Nd2 Y7 Er1'
_cell_length_a 6.207
_cell_length_b 6.212
_cell_length_c 9.488
_cell_angle_alpha 102.61
_cell_angle_beta 109.08
_cell_angle_gamma 99.56
_symmetry_space_group_name_H-M 'P -1'
_symmetry_Int_Tables_number 2
loop_
_symmetry_equiv_pos_as_xyz
'x,y,z'
'-x,-y,-z'
loop_
_atom_site_label
_atom_site_fract_x
_atom_site_fract_y
_atom_site_fract_z
Nd1 0.101 0.002 0.201
Y1 0.100 0.500 0.699
Y2 0.300 0.001 0.599
Y3 0.301 0.500 0.101
Y4 0.500 0.000 0.000
Er1 0.500 0.500 0.500
```

***

It is a that is the least stable of them.

***

## a
Density functional theory data (PBE) for a geometry-optimized Nd12Y6Er structure.

Calculated values
Total moment   0.0 μB/f.u.
DOS at the Fermi energy   100.817 states/eV per cell

Geometry as CIF:
```
data_Nd12Y6Er
_chemical_formula_sum 'Nd36 Y18 Er3'
_cell_length_a 12.2416
_cell_length_b 12.2416
_cell_length_c 15.2977
_cell_angle_alpha 90.00
_cell_angle_beta 90.00
_cell_angle_gamma 120.00
_symmetry_space_group_name_H-M 'R -3'
_symmetry_Int_Tables_number 148
_symmetry_space_group_name_Hall '-R 3'
loop_
_atom_site_label
_atom_site_fract_x
_atom_site_fract_y
_atom_site_fract_z
Nd1 0.0026 0.8300 0.1916
Nd2 0.0474 0.8503 0.4165
Y1 0.0158 0.4269 0.6878
Er1 0.0000 0.0000 0.0000
```

***

## b
Density functional theory data (PBE) for a geometry-optimized Nd12Y6Er structure.

Calculated values
Total moment   0.0 μB/f.u.
DOS at the Fermi energy   113.645 states/eV per cell

Geometry as CIF:
```
data_Nd12Y6Er
_chemical_formula_sum 'Nd36 Y18 Er3'
_cell_length_a 16.2901
_cell_length_b 16.2901
_cell_length_c 9.0575
_cell_angle_alpha 90.00
_cell_angle_beta 90.00
_cell_angle_gamma 120.00
_symmetry_space_group_name_H-M 'R -3 m'
_symmetry_Int_Tables_number 166
_symmetry_space_group_name_Hall '-R 3 2"'
loop_
_atom_site_label
_atom_site_fract_x
_atom_site_fract_y
_atom_site_fract_z
Nd1 0.0000 0.3899 0.0000
Nd2 0.0868 0.1737 0.6707
Y1 0.0834 0.5417 0.6901
Er1 0.0000 0.0000 0.5000
```

***

It is b that is the least stable of them.

***

## a
Density functional theory data (PBE) for a geometry-optimized NdY3Er7 structure.

Calculated values
Total moment   0.0 μB/f.u.
DOS at the Fermi energy   35.225 states/eV per cell

Geometry as CIF:
```
data_NdY3Er7
_chemical_formula_sum 'Nd2 Y6 Er14'
_cell_length_a 12.571
_cell_length_b 11.127
_cell_length_c 5.763
_cell_angle_alpha 90.00
_cell_angle_beta 117.21
_cell_angle_gamma 90.00
_symmetry_space_group_name_H-M 'C 1 2/m 1'
_symmetry_Int_Tables_number 12
loop_
_symmetry_equiv_pos_as_xyz
'x,y,z'
'-x,-y,-z'
'-x,y,-z'
'x,-y,z'
'x+1/2,y+1/2,z'
'-x+1/2,-y+1/2,-z'
'-x+1/2,y+1/2,-z'
'x+1/2,-y+1/2,z'
loop_
_atom_site_label
_atom_site_fract_x
_atom_site_fract_y
_atom_site_fract_z
Nd1 0.000 0.000 0.000
Y1 0.000 0.295 0.500
Y2 0.000 0.500 0.000
Er1 0.000 0.000 0.500
Er2 0.208 0.306 0.208
Er3 0.209 0.500 0.708
```

***

## b
Density functional theory data (PBE) for a geometry-optimized NdY3Er7 structure.

Calculated values
Total moment   0.0 μB/f.u.
DOS at the Fermi energy   18.833 states/eV per cell

Geometry as CIF:
```
data_NdY3Er7
_chemical_formula_sum 'Nd1 Y3 Er7'
_cell_length_a 6.952
_cell_length_b 5.518
_cell_length_c 9.878
_cell_angle_alpha 90.00
_cell_angle_beta 110.11
_cell_angle_gamma 90.00
_symmetry_space_group_name_H-M 'P 1 2/m 1'
_symmetry_Int_Tables_number 10
loop_
_symmetry_equiv_pos_as_xyz
'x,y,z'
'-x,-y,-z'
'-x,y,-z'
'x,-y,z'
loop_
_atom_site_label
_atom_site_fract_x
_atom_site_fract_y
_atom_site_fract_z
Nd1 0.000 0.000 0.000
Y1 0.277 0.500 0.498
Y2 0.500 0.000 0.000
Er1 0.000 0.000 0.500
Er2 0.148 0.500 0.791
Er3 0.324 0.500 0.143
Er4 0.422 0.000 0.332
```

***

It is a that is the least stable of them.

***

## a
Density functional theory data (PBE) for a geometry-optimized NdY4Er5 structure.

Calculated values
Total moment   0.0 μB/f.u.
DOS at the Fermi energy   17.131 states/eV per cell

Geometry as CIF:
```
data_NdY4Er5
_chemical_formula_sum 'Nd1 Y4 Er5'
_cell_length_a 3.554
_cell_length_b 6.669
_cell_length_c 14.124
_cell_angle_alpha 98.51
_cell_angle_beta 93.12
_cell_angle_gamma 103.93
_symmetry_space_group_name_H-M 'P -1'
_symmetry_Int_Tables_number 2
loop_
_symmetry_equiv_pos_as_xyz
'x,y,z'
'-x,-y,-z'
loop_
_atom_site_label
_atom_site_fract_x
_atom_site_fract_y
_atom_site_fract_z
Nd1 0.000 0.000 0.000
Y1 0.115 0.808 0.218
Y2 0.195 0.727 0.804
Er1 0.204 0.881 0.583
Er2 0.491 0.427 0.612
Er3 0.500 0.500 0.000
```

***

## b
Density functional theory data (PBE) for a geometry-optimized NdY4Er5 structure.

Calculated values
Total moment   0.0 μB/f.u.
DOS at the Fermi energy   28.680 states/eV per cell

Geometry as CIF:
```
data_NdY4Er5
_chemical_formula_sum 'Nd2 Y8 Er10'
_cell_length_a 10.153
_cell_length_b 10.153
_cell_length_c 6.336
_cell_angle_alpha 90.00
_cell_angle_beta 90.00
_cell_angle_gamma 90.00
_symmetry_space_group_name_H-M 'I 4'
_symmetry_Int_Tables_number 79
loop_
_symmetry_equiv_pos_as_xyz
'x,y,z'
'-y,x,z'
'-x,-y,z'
'y,-x,z'
'x+1/2,y+1/2,z+1/2'
'-y+1/2,x+1/2,z+1/2'
'-x+1/2,-y+1/2,z+1/2'
'y+1/2,-x+1/2,z+1/2'
loop_
_atom_site_label
_atom_site_fract_x
_atom_site_fract_y
_atom_site_fract_z
Nd1 0.000 0.000 0.000
Y1 0.048 0.345 0.770
Er1 0.000 0.000 0.545
Er2 0.143 0.231 0.274
```

***

It is b that is the least stable of them.

***

## a
Density functional theory data (PBE) for a geometry-optimized NdY3Er6 structure.

Calculated values
Total moment   0.0 μB/f.u.
DOS at the Fermi energy   56.186 states/eV per cell

Geometry as CIF:
```
data_NdY3Er6
_chemical_formula_sum 'Nd4 Y12 Er24'
_cell_length_a 11.028
_cell_length_b 18.899
_cell_length_c 6.152
_cell_angle_alpha 90.00
_cell_angle_beta 90.00
_cell_angle_gamma 90.00
_symmetry_space_group_name_H-M 'C m c 21'
_symmetry_Int_Tables_number 36
loop_
_symmetry_equiv_pos_as_xyz
'x,y,z'
'-x,-y,z+1/2'
'-x,y,z'
'x,-y,z+1/2'
'x+1/2,y+1/2,z'
'-x+1/2,-y+1/2,z+1/2'
'-x+1/2,y+1/2,z'
'x+1/2,-y+1/2,z+1/2'
loop_
_atom_site_label
_atom_site_fract_x
_atom_site_fract_y
_atom_site_fract_z
Nd1 0.000 0.209 0.000
Y1 0.000 0.391 0.087
Y2 0.173 0.108 0.697
Er1 0.000 0.048 0.233
Er2 0.000 0.286 0.518
Er3 0.165 0.452 0.629
Er4 0.247 0.211 0.290
```

***

## b
Density functional theory data (PBE) for a geometry-optimized NdY3Er6 structure.

Calculated values
Total moment   0.0 μB/f.u.
DOS at the Fermi energy   62.036 states/eV per cell

Geometry as CIF:
```
data_NdY3Er6
_chemical_formula_sum 'Nd3 Y9 Er18'
_cell_length_a 9.8085
_cell_length_b 9.8085
_cell_length_c 11.6068
_cell_angle_alpha 90.00
_cell_angle_beta 90.00
_cell_angle_gamma 120.00
_symmetry_space_group_name_H-M 'R 3'
_symmetry_Int_Tables_number 146
_symmetry_space_group_name_Hall 'R 3'
loop_
_atom_site_label
_atom_site_fract_x
_atom_site_fract_y
_atom_site_fract_z
Nd1 0.0000 0.0000 0.0000
Y1 0.0000 0.0000 0.2486
Y2 0.0000 0.0000 0.4986
Y3 0.0000 0.0000 0.7441
Er1 0.0012 0.3363 0.6699
Er2 0.0012 0.6646 0.1704
```

***

It is b that is the least stable of them.

***

## a
Density functional theory data (PBE) for a geometry-optimized NdY2Er6 structure.

Calculated values
Total moment   1.7 μB/f.u.
DOS at the Fermi energy   15.837 states/eV per cell

Geometry as CIF:
```
data_NdY2Er6
_chemical_formula_sum 'Nd1 Y2 Er6'
_cell_length_a 3.5850
_cell_length_b 3.5850
_cell_length_c 25.9820
_cell_angle_alpha 90.00
_cell_angle_beta 90.00
_cell_angle_gamma 120.00
_symmetry_space_group_name_H-M 'P -6 m 2'
_symmetry_Int_Tables_number 187
_symmetry_space_group_name_Hall 'P -6 2'
loop_
_atom_site_label
_atom_site_fract_x
_atom_site_fract_y
_atom_site_fract_z
Nd1 0.0000 0.0000 0.0000
Y1 0.3333 0.6667 0.3284
Er1 0.0000 0.0000 0.2189
Er2 0.0000 0.0000 0.4356
Er3 0.3333 0.6667 0.1123
```

***

## b
Density functional theory data (PBE) for a geometry-optimized NdY2Er6 structure.

Calculated values
Total moment   0.0 μB/f.u.
DOS at the Fermi energy   23.272 states/eV per cell

Geometry as CIF:
```
data_NdY2Er6
_chemical_formula_sum 'Nd2 Y4 Er12'
_cell_length_a 10.618
_cell_length_b 10.618
_cell_length_c 5.015
_cell_angle_alpha 90.00
_cell_angle_beta 90.00
_cell_angle_gamma 90.00
_symmetry_space_group_name_H-M 'P 42/m n m'
_symmetry_Int_Tables_number 136
_symmetry_space_group_name_Hall '-P 4n 2n'
loop_
_atom_site_label
_atom_site_fract_x
_atom_site_fract_y
_atom_site_fract_z
Nd1 0.000 0.000 0.000
Y1 0.168 0.168 0.500
Er1 0.001 0.335 0.000
Er2 0.168 0.832 0.500
```

***

It is a that is the least stable of them.

***

## a
Density functional theory data (PBE) for a geometry-optimized Nd4Y6Er structure.

Calculated values
Total moment   0.0 μB/f.u.
DOS at the Fermi energy   17.934 states/eV per cell

Geometry as CIF:
```
data_Nd4Y6Er
_chemical_formula_sum 'Nd4 Y6 Er1'
_cell_length_a 11.0085
_cell_length_b 11.0085
_cell_length_c 3.5979
_cell_angle_alpha 90.00
_cell_angle_beta 90.00
_cell_angle_gamma 120.00
_symmetry_space_group_name_H-M 'P -6 m 2'
_symmetry_Int_Tables_number 187
_symmetry_space_group_name_Hall 'P -6 2'
loop_
_atom_site_label
_atom_site_fract_x
_atom_site_fract_y
_atom_site_fract_z
Nd1 0.0000 0.0000 0.0000
Nd2 0.0146 0.5073 0.5000
Y1 0.1510 0.3020 0.5000
Y2 0.3717 0.1858 0.0000
Er1 0.3333 0.6667 0.0000
```

***

## b
Density functional theory data (PBE) for a geometry-optimized Nd4Y6Er structure.

Calculated values
Total moment   0.0 μB/f.u.
DOS at the Fermi energy   83.741 states/eV per cell

Geometry as CIF:
```
data_Nd4Y6Er
_chemical_formula_sum 'Nd16 Y24 Er4'
_cell_length_a 5.792
_cell_length_b 9.746
_cell_length_c 26.010
_cell_angle_alpha 90.00
_cell_angle_beta 90.00
_cell_angle_gamma 90.00
_symmetry_space_group_name_H-M 'C m c m'
_symmetry_Int_Tables_number 63
_symmetry_space_group_name_Hall '-C 2c 2'
loop_
_atom_site_label
_atom_site_fract_x
_atom_site_fract_y
_atom_site_fract_z
Nd1 0.000 0.031 0.122
Nd2 0.000 0.344 0.045
Y1 0.000 0.000 0.000
Y2 0.000 0.019 0.250
Y3 0.000 0.310 0.607
Y4 0.000 0.356 0.183
Er1 0.000 0.315 0.750
```

***

It is a that is the least stable of them.

***

## a
Density functional theory data (PBE) for a geometry-optimized Nd5Y2Er4 structure.

Calculated values
Total moment   0.0 μB/f.u.
DOS at the Fermi energy   32.799 states/eV per cell

Geometry as CIF:
```
data_Nd5Y2Er4
_chemical_formula_sum 'Nd10 Y4 Er8'
_cell_length_a 18.006
_cell_length_b 3.585
_cell_length_c 12.116
_cell_angle_alpha 90.00
_cell_angle_beta 107.25
_cell_angle_gamma 90.00
_symmetry_space_group_name_H-M 'C 1 2/m 1'
_symmetry_Int_Tables_number 12
loop_
_symmetry_equiv_pos_as_xyz
'x,y,z'
'-x,-y,-z'
'-x,y,-z'
'x,-y,z'
'x+1/2,y+1/2,z'
'-x+1/2,-y+1/2,-z'
'-x+1/2,y+1/2,-z'
'x+1/2,-y+1/2,z'
loop_
_atom_site_label
_atom_site_fract_x
_atom_site_fract_y
_atom_site_fract_z
Nd1 0.000 0.000 0.000
Nd2 0.117 0.500 0.515
Nd3 0.166 0.500 0.012
Y1 0.175 0.000 0.286
Er1 0.004 0.500 0.751
Er2 0.170 0.000 0.766
```

***

## b
Density functional theory data (PBE) for a geometry-optimized Nd5Y2Er4 structure.

Calculated values
Total moment   0.0 μB/f.u.
DOS at the Fermi energy   35.440 states/eV per cell

Geometry as CIF:
```
data_Nd5Y2Er4
_chemical_formula_sum 'Nd10 Y4 Er8'
_cell_length_a 3.531
_cell_length_b 9.085
_cell_length_c 23.711
_cell_angle_alpha 90.00
_cell_angle_beta 90.00
_cell_angle_gamma 90.00
_symmetry_space_group_name_H-M 'I m m m'
_symmetry_Int_Tables_number 71
_symmetry_space_group_name_Hall '-I 2 2'
loop_
_atom_site_label
_atom_site_fract_x
_atom_site_fract_y
_atom_site_fract_z
Nd1 0.000 0.000 0.000
Nd2 0.000 0.301 0.356
Y1 0.000 0.500 0.231
Er1 0.000 0.185 0.500
Er2 0.000 0.500 0.097
```

***

It is b that is the least stable of them.

***

## a
Density functional theory data (PBE) for a geometry-optimized Nd2YEr6 structure.

Calculated values
Total moment   0.0 μB/f.u.
DOS at the Fermi energy   14.549 states/eV per cell

Geometry as CIF:
```
data_Nd2YEr6
_chemical_formula_sum 'Nd2 Y1 Er6'
_cell_length_a 9.7395
_cell_length_b 9.7395
_cell_length_c 3.4703
_cell_angle_alpha 90.00
_cell_angle_beta 90.00
_cell_angle_gamma 120.00
_symmetry_space_group_name_H-M 'P 6/m m m'
_symmetry_Int_Tables_number 191
_symmetry_space_group_name_Hall '-P 6 2'
loop_
_atom_site_label
_atom_site_fract_x
_atom_site_fract_y
_atom_site_fract_z
Nd1 0.3333 0.6667 0.0000
Y1 0.0000 0.0000 0.0000
Er1 0.0000 0.3317 0.5000
```

***

## b
Density functional theory data (PBE) for a geometry-optimized Nd2YEr6 structure.

Calculated values
Total moment   0.0 μB/f.u.
DOS at the Fermi energy   46.319 states/eV per cell

Geometry as CIF:
```
data_Nd2YEr6
_chemical_formula_sum 'Nd8 Y4 Er24'
_cell_length_a 12.768
_cell_length_b 14.253
_cell_length_c 6.558
_cell_angle_alpha 90.00
_cell_angle_beta 104.27
_cell_angle_gamma 90.00
_symmetry_space_group_name_H-M 'C 1 2/c 1'
_symmetry_Int_Tables_number 15
loop_
_symmetry_equiv_pos_as_xyz
'x,y,z'
'-x,-y,-z'
'-x,y,-z+1/2'
'x,-y,z+1/2'
'x+1/2,y+1/2,z'
'-x+1/2,-y+1/2,-z'
'-x+1/2,y+1/2,-z+1/2'
'x+1/2,-y+1/2,z+1/2'
loop_
_atom_site_label
_atom_site_fract_x
_atom_site_fract_y
_atom_site_fract_z
Nd1 0.144 0.025 0.374
Y1 0.000 0.383 0.250
Er1 0.037 0.188 0.004
Er2 0.132 0.408 0.815
Er3 0.239 0.201 0.729
```

***

It is b that is the least stable of them.

***

## a
Density functional theory data (PBE) for a geometry-optimized Nd6Y2Er structure.

Calculated values
Total moment   0.0 μB/f.u.
DOS at the Fermi energy   30.463 states/eV per cell

Geometry as CIF:
```
data_Nd6Y2Er
_chemical_formula_sum 'Nd12 Y4 Er2'
_cell_length_a 16.508
_cell_length_b 7.080
_cell_length_c 5.683
_cell_angle_alpha 90.00
_cell_angle_beta 110.02
_cell_angle_gamma 90.00
_symmetry_space_group_name_H-M 'C 1 2/m 1'
_symmetry_Int_Tables_number 12
loop_
_symmetry_equiv_pos_as_xyz
'x,y,z'
'-x,-y,-z'
'-x,y,-z'
'x,-y,z'
'x+1/2,y+1/2,z'
'-x+1/2,-y+1/2,-z'
'-x+1/2,y+1/2,-z'
'x+1/2,-y+1/2,z'
loop_
_atom_site_label
_atom_site_fract_x
_atom_site_fract_y
_atom_site_fract_z
Nd1 0.110 0.228 0.111
Nd2 0.215 0.000 0.715
Y1 0.131 0.500 0.632
Er1 0.000 0.000 0.500
```

***

## b
Density functional theory data (PBE) for a geometry-optimized Nd6Y2Er structure.

Calculated values
Total moment   0.0 μB/f.u.
DOS at the Fermi energy   24.426 states/eV per cell

Geometry as CIF:
```
data_Nd6Y2Er
_chemical_formula_sum 'Nd12 Y4 Er2'
_cell_length_a 9.440
_cell_length_b 17.747
_cell_length_c 3.684
_cell_angle_alpha 90.00
_cell_angle_beta 90.00
_cell_angle_gamma 90.00
_symmetry_space_group_name_H-M 'C m m m'
_symmetry_Int_Tables_number 65
_symmetry_space_group_name_Hall '-C 2 2'
loop_
_atom_site_label
_atom_site_fract_x
_atom_site_fract_y
_atom_site_fract_z
Nd1 0.175 0.165 0.000
Nd2 0.186 0.000 0.500
Y1 0.000 0.324 0.500
Er1 0.000 0.500 0.000
```

***

It is a that is the least stable of them.